# 1
## SrTc2AgB (PBE)

Data for crystalline SrTc2AgB at its relaxed geometry.

It has space group P4/mmm (No. 123), with a = 5.059 Å, b = 5.059 Å, c = 5.384 Å, α = 90.00°, β = 90.00° and γ = 90.00°. The asymmetric unit holds Sr at (0.000, 0.000, 0.000), Tc at (0.000, 0.500, 0.000), Ag at (0.000, 0.000, 0.500) and B at (0.500, 0.500, 0.500).

The calculation puts the formation energy at 3.230 eV/atom.

***

# 2
## Ho5Er4Pu (PBE)

Data for crystalline Ho5Er4Pu at its relaxed geometry.

It has space group I4/mmm (No. 139), with a = 10.752 Å, b = 10.752 Å, c = 5.391 Å, α = 90.00°, β = 90.00° and γ = 90.00°. The asymmetric unit holds Ho at (0.000, 0.000, 0.000), Ho at (0.184, 0.184, 0.500), Er at (0.000, 0.326, 0.000) and Pu at (0.000, 0.000, 0.500).

For the offset from the most stable computed form, the calculation gives 0.003 eV/atom. The calculation puts the formation energy at 0.268 eV/atom.

***

# 3
## GaPd2O (PBE)

Data for crystalline GaPd2O at its relaxed geometry.

It has space group I-42d (No. 122), with a = 4.642 Å, b = 4.642 Å, c = 12.736 Å, α = 90.00°, β = 90.00° and γ = 90.00°. The asymmetric unit holds Ga at (0.000, 0.000, 0.000), Pd at (0.158, 0.250, 0.625) and O at (0.000, 0.000, 0.500).

For the offset from the most stable computed form, the calculation gives 0.000 eV/atom. The uncorrected formation energy is -152 meV per atom.

***

# 4
## PaSn2Ru3 (PBE)

Data for crystalline PaSn2Ru3 at its relaxed geometry.

It has space group P-3m1 (No. 164), with a = 4.7080 Å, b = 4.7080 Å, c = 5.6786 Å, α = 90.00°, β = 90.00° and γ = 120.00°. The asymmetric unit holds Pa at (0.0000, 0.0000, 0.0000), Sn at (0.3333, 0.6667, 0.6673), Ru at (0.0000, 0.0000, 0.5000) and Ru at (0.3333, 0.6667, 0.1761).

The calculation puts the formation energy at -0.300 eV/atom.

***

# 5
## Nd7GaSn5 (PBE)

Data for crystalline Nd7GaSn5 at its relaxed geometry.

It has space group Imm2 (No. 44), with a = 6.342 Å, b = 11.627 Å, c = 10.861 Å, α = 90.00°, β = 90.00° and γ = 90.00°. The asymmetric unit holds Nd at (0.000, 0.000, 0.000), Nd at (0.000, 0.000, 0.410), Nd at (0.000, 0.330, 0.787), Nd at (0.000, 0.339, 0.306), Nd at (0.000, 0.500, 0.063), Ga at (0.000, 0.000, 0.704), Sn at (0.000, 0.500, 0.552) and Sn at (0.249, 0.258, 0.042).

The calculation puts the formation energy at -0.463 eV/atom.

***

# 6
## BiPt2Pb (PBE)

Data for crystalline BiPt2Pb at its relaxed geometry.

It has space group P-6m2 (No. 187), with a = 4.3976 Å, b = 4.3976 Å, c = 5.5690 Å, α = 90.00°, β = 90.00° and γ = 120.00°. The asymmetric unit holds Bi at (0.0000, 0.0000, 0.0000), Pt at (0.6667, 0.3333, 0.2501) and Pb at (0.3333, 0.6667, 0.5000).

The calculation puts the formation energy at -0.274 eV/atom.

***

# 7
## Si2MoAs (PBE)

Data for crystalline Si2MoAs at its relaxed geometry.

It has space group P4/mmm (No. 123), with a = 4.387 Å, b = 4.387 Å, c = 3.191 Å, α = 90.00°, β = 90.00° and γ = 90.00°. The asymmetric unit holds Si at (0.000, 0.500, 0.000), Mo at (0.000, 0.000, 0.500) and As at (0.500, 0.500, 0.500).

The uncorrected formation energy is 351 meV per atom.

***

# 8
## HgGe (PBE)

Data for crystalline HgGe at its relaxed geometry.

It has space group P6_3/mmc (No. 194), with a = 4.7098 Å, b = 4.7098 Å, c = 5.7739 Å, α = 90.00°, β = 90.00° and γ = 120.00°. The asymmetric unit holds Hg at (0.3333, 0.6667, 0.2500) and Ge at (0.3333, 0.6667, 0.7500).

For the offset from the most stable computed form, the calculation gives 0.214 eV/atom. The calculation puts the formation energy at 0.364 eV/atom.

***

# 9
## TiNiOs3 (PBE)

Data for crystalline TiNiOs3 at its relaxed geometry.

It has space group Pm-3m (No. 221), with a = 4.397 Å, b = 4.397 Å, c = 4.397 Å, α = 90.00°, β = 90.00° and γ = 90.00°. The asymmetric unit holds Ti at (0.000, 0.000, 0.000), Ni at (0.500, 0.500, 0.500) and Os at (0.000, 0.500, 0.500).

For the offset from the most stable computed form, the calculation gives 0.000 eV/atom. The calculation puts the formation energy at 1.485 eV/atom.

***

# 10
## LiGaCl4 (PBE)

Data for crystalline LiGaCl4 at its relaxed geometry.

It has space group I-4 (No. 82), with a = 6.002 Å, b = 6.002 Å, c = 10.010 Å, α = 90.00°, β = 90.00° and γ = 90.00°. The asymmetric unit holds Li at (0.000, 0.000, 0.000), Ga at (0.000, 0.500, 0.250) and Cl at (0.205, 0.276, 0.125).

For the offset from the most stable computed form, the calculation gives 0.000 eV/atom. The uncorrected formation energy is -1387 meV per atom.

***

# 11
## ScAgSb2 (PBE)

Data for crystalline ScAgSb2 at its relaxed geometry.

It has space group Pm (No. 6), with a = 3.345 Å, b = 4.956 Å, c = 5.854 Å, α = 90.00°, β = 105.79° and γ = 90.00°. The asymmetric unit holds Sc at (0.000, 0.000, 0.000), Ag at (0.182, 0.500, 0.355), Sb at (0.437, 0.500, 0.879) and Sb at (0.722, 0.000, 0.448).

The uncorrected formation energy is -346 meV per atom.

***

# 12
## AcTb4S6 (PBE)

Data for crystalline AcTb4S6 at its relaxed geometry.

It has space group Cmcm (No. 63), with a = 3.971 Å, b = 12.969 Å, c = 20.101 Å, α = 90.00°, β = 90.00° and γ = 90.00°. The asymmetric unit holds Ac at (0.000, 0.158, 0.250), Tb at (0.000, 0.094, 0.624), Tb at (0.000, 0.361, 0.539), S at (0.000, 0.000, 0.000), S at (0.000, 0.175, 0.750), S at (0.000, 0.266, 0.089) and S at (0.000, 0.456, 0.662).

The uncorrected formation energy is -2082 meV per atom.

***

# 13
## Zn4Ni3 (PBE)

Data for crystalline Zn4Ni3 at its relaxed geometry.

It has space group I4/mmm (No. 139), with a = 2.898 Å, b = 2.898 Å, c = 21.117 Å, α = 90.00°, β = 90.00° and γ = 90.00°. The asymmetric unit holds Zn at (0.000, 0.000, 0.069), Zn at (0.000, 0.000, 0.348), Ni at (0.000, 0.000, 0.217) and Ni at (0.000, 0.000, 0.500).

For the offset from the most stable computed form, the calculation gives 0.034 eV/atom. The calculation puts the formation energy at -0.123 eV/atom.

***

# 14
## K2UAsSe5 (PBE)

Data for crystalline K2UAsSe5 at its relaxed geometry.

It has space group Cmc2_1 (No. 36), with a = 4.354 Å, b = 18.835 Å, c = 14.464 Å, α = 90.00°, β = 90.00° and γ = 90.00°. The asymmetric unit holds K at (0.000, 0.106, 0.000), K at (0.000, 0.130, 0.659), U at (0.000, 0.206, 0.377), As at (0.000, 0.449, 0.767), Se at (0.000, 0.061, 0.388), Se at (0.000, 0.286, 0.998), Se at (0.000, 0.317, 0.747), Se at (0.000, 0.341, 0.335) and Se at (0.000, 0.495, 0.618).

The uncorrected formation energy is -884 meV per atom.

***

# 15
## ReGe2Sb (PBE)

Data for crystalline ReGe2Sb at its relaxed geometry.

It has space group R-3m (No. 166, hexagonal axes), with a = 3.1559 Å, b = 3.1559 Å, c = 28.2940 Å, α = 90.00°, β = 90.00° and γ = 120.00°. The asymmetric unit holds Re at (0.0000, 0.0000, 0.0000), Ge at (0.0000, 0.0000, 0.3975) and Sb at (0.0000, 0.0000, 0.5000).

The uncorrected formation energy is 228 meV per atom.

***

# 16
## In3BrN (PBE)

Data for crystalline In3BrN at its relaxed geometry.

It has space group Pm-3m (No. 221), with a = 5.030 Å, b = 5.030 Å, c = 5.030 Å, α = 90.00°, β = 90.00° and γ = 90.00°. The asymmetric unit holds In at (0.000, 0.000, 0.500), Br at (0.500, 0.500, 0.500) and N at (0.000, 0.000, 0.000).

For the offset from the most stable computed form, the calculation gives 0.000 eV/atom. The uncorrected formation energy is 318 meV per atom.

***

# 17
## MnReAu (PBE)

Data for crystalline MnReAu at its relaxed geometry.

It has space group F-43m (No. 216), with a = 5.864 Å, b = 5.864 Å, c = 5.864 Å, α = 90.00°, β = 90.00° and γ = 90.00°. The asymmetric unit holds Mn at (0.000, 0.000, 0.000), Re at (0.250, 0.250, 0.750) and Au at (0.250, 0.250, 0.250).

For the offset from the most stable computed form, the calculation gives 0.374 eV/atom. The calculation puts the formation energy at 0.667 eV/atom.

***

# 18
## InMoP2 (PBE)

Data for crystalline InMoP2 at its relaxed geometry.

It has space group F-43m (No. 216), with a = 6.457 Å, b = 6.457 Å, c = 6.457 Å, α = 90.00°, β = 90.00° and γ = 90.00°. The asymmetric unit holds In at (0.000, 0.000, 0.000), Mo at (0.250, 0.250, 0.250), P at (0.000, 0.000, 0.500) and P at (0.250, 0.250, 0.750).

The calculation puts the formation energy at 0.772 eV/atom.

***

# 19
## FeCu2Si (PBE)

Data for crystalline FeCu2Si at its relaxed geometry.

It has space group I4/mmm (No. 139), with a = 3.489 Å, b = 3.489 Å, c = 7.764 Å, α = 90.00°, β = 90.00° and γ = 90.00°. The asymmetric unit holds Fe at (0.000, 0.000, 0.000), Cu at (0.000, 0.500, 0.250) and Si at (0.000, 0.000, 0.500).

The uncorrected formation energy is 2 meV per atom.

***

# 20
## Pm2PrSm5Tm (PBE)

Data for crystalline Pm2PrSm5Tm at its relaxed geometry.

It has space group I4/mcm (No. 140), with a = 8.875 Å, b = 8.875 Å, c = 15.640 Å, α = 90.00°, β = 90.00° and γ = 90.00°. The asymmetric unit holds Pm at (0.116, 0.384, 0.000), Pr at (0.000, 0.000, 0.250), Sm at (0.000, 0.000, 0.000), Sm at (0.209, 0.291, 0.363) and Tm at (0.000, 0.500, 0.250).

The calculation puts the formation energy at 0.276 eV/atom.

***

# 21
## UTl2Cu2S6 (PBE)

Data for crystalline UTl2Cu2S6 at its relaxed geometry.

It has space group R-3m (No. 166, hexagonal axes), with a = 7.2136 Å, b = 7.2136 Å, c = 19.1085 Å, α = 90.00°, β = 90.00° and γ = 120.00°. The asymmetric unit holds U at (0.0000, 0.0000, 0.0000), Tl at (0.0000, 0.0000, 0.2222), Cu at (0.0000, 0.0000, 0.4130) and S at (0.0144, 0.5072, 0.7495).

The uncorrected formation energy is -476 meV per atom.

***

# 22
## CaBe2Au8 (PBE)

Data for crystalline CaBe2Au8 at its relaxed geometry.

It has space group C2/m (No. 12), with a = 15.518 Å, b = 3.710 Å, c = 7.184 Å, α = 90.00°, β = 112.86° and γ = 90.00°. The asymmetric unit holds Ca at (0.000, 0.000, 0.000), Be at (0.201, 0.500, 0.708), Au at (0.036, 0.500, 0.712), Au at (0.118, 0.000, 0.486), Au at (0.176, 0.000, 0.934) and Au at (0.179, 0.500, 0.264).

For the offset from the most stable computed form, the calculation gives 0.000 eV/atom. The calculation puts the formation energy at -0.242 eV/atom.

***

# 23
## Tl3CoPd (PBE)

Data for crystalline Tl3CoPd at its relaxed geometry.

It has space group Pm-3m (No. 221), with a = 4.983 Å, b = 4.983 Å, c = 4.983 Å, α = 90.00°, β = 90.00° and γ = 90.00°. The asymmetric unit holds Tl at (0.000, 0.000, 0.500), Co at (0.000, 0.000, 0.000) and Pd at (0.500, 0.500, 0.500).

For the offset from the most stable computed form, the calculation gives 0.000 eV/atom. The calculation puts the formation energy at 0.427 eV/atom.

***

# 24
## TbDy2Tc9 (PBE)

Data for crystalline TbDy2Tc9 at its relaxed geometry.

It has space group R-3m (No. 166, hexagonal axes), with a = 5.3562 Å, b = 5.3562 Å, c = 26.1928 Å, α = 90.00°, β = 90.00° and γ = 120.00°. The asymmetric unit holds Tb at (0.0000, 0.0000, 0.0000), Dy at (0.0000, 0.0000, 0.1437), Tc at (0.0000, 0.0000, 0.3381), Tc at (0.0000, 0.0000, 0.5000) and Tc at (0.0100, 0.5050, 0.9167).

The calculation puts the formation energy at -0.049 eV/atom.